A plane-wave DFT calculation with PBE was carried out for an optimized crystal structure of Hf3VAs.

abc: 4.927 4.927 4.927
angles: 90.00 90.00 90.00
Fractional positions:
Hf: 0.000 0.000 0.500
Hf: 0.000 0.500 0.000
Hf: 0.500 0.000 0.000
V: 0.500 0.500 0.500
As: 0.000 0.000 0.000

Values from the calculation:
- E_form: 0.45 eV/atom
- Calculated total energy: -41.40 eV per cell